(one)
DFT (PBE) results for a relaxed CeMg6C crystal.

Values from the calculation:
- Volume: 21.7 Å³ per atom
- Total moment: 0.853 μB per formula unit

abc: 4.809 7.090 7.090
angles: 45.95 90.00 90.00
Atoms (fractional coordinates):
Ce 0.000 0.000 0.000
Mg 0.000 0.012 0.505
Mg 0.000 0.505 0.012
Mg 0.500 0.144 0.628
Mg 0.500 0.162 0.162
Mg 0.500 0.600 0.600
Mg 0.500 0.628 0.144
C 0.000 0.410 0.410


(two)
DFT (PBE) results for a relaxed CeMg6C crystal.

Values from the calculation:
- Volume: 24.3 Å³ per atom
- Total moment: 0.273 μB per formula unit

abc: 4.675 6.622 6.622
angles: 71.59 90.00 90.00
Atoms (fractional coordinates):
Ce 0.000 0.000 0.000
Mg 0.000 0.085 0.470
Mg 0.000 0.470 0.085
Mg 0.000 0.562 0.562
Mg 0.500 0.271 0.697
Mg 0.500 0.697 0.271
Mg 0.500 0.752 0.752
C 0.500 0.954 0.954


We find (two) to be the most stable, with the next structure 193 meV/atom higher.


(one)
DFT (PBE) results for a relaxed CeMnC crystal.

Values from the calculation:
- Volume: 14.5 Å³ per atom
- Total moment: 0.000 μB per formula unit

abc: 4.904 3.368 5.664
angles: 90.00 112.05 90.00
Atoms (fractional coordinates):
Ce 0.172 0.250 0.307
Ce 0.828 0.750 0.693
Mn 0.321 0.750 0.854
Mn 0.679 0.250 0.146
C 0.479 0.250 0.769
C 0.521 0.750 0.231


(two)
DFT (PBE) results for a relaxed CeMnC crystal.

Values from the calculation:
- Volume: 14.1 Å³ per atom
- Total moment: 0.682 μB per formula unit

abc: 4.980 4.980 6.509
angles: 118.88 118.88 37.40
Atoms (fractional coordinates):
Ce 0.069 0.069 0.343
Ce 0.931 0.931 0.657
Mn 0.313 0.313 0.921
Mn 0.687 0.687 0.079
C 0.313 0.313 0.238
C 0.687 0.687 0.762


We find (one) to be the most stable, with the next structure 6 meV/atom higher.


(one)
DFT (PBE) results for a relaxed CeMnC crystal.

Values from the calculation:
- Volume: 14.2 Å³ per atom
- Total moment: 0.000 μB per formula unit

abc: 3.348 3.348 4.394
angles: 90.00 90.00 120.00
Atoms (fractional coordinates):
Ce 0.000 0.000 0.000
Mn 0.667 0.333 0.500
C 0.333 0.667 0.500


(two)
DFT (PBE) results for a relaxed CeMnC crystal.

Values from the calculation:
- Volume: 12.7 Å³ per atom
- Total moment: 0.000 μB per formula unit

abc: 5.286 5.286 5.286
angles: 149.40 149.40 43.82
Atoms (fractional coordinates):
Ce 0.000 0.000 0.000
Mn 0.268 0.268 0.000
C 0.704 0.704 0.000


We find (one) to be the most stable, with the next structure 234 meV/atom higher.


(one)
DFT (PBE) results for a relaxed CeMoC crystal.

Values from the calculation:
- Volume: 16.8 Å³ per atom
- Total moment: 0.288 μB per formula unit

abc: 3.655 3.655 4.360
angles: 90.00 90.00 120.00
Atoms (fractional coordinates):
Ce 0.000 0.000 0.000
Mo 0.333 0.667 0.500
C 0.667 0.333 0.500


(two)
DFT (PBE) results for a relaxed CeMoC crystal.

Values from the calculation:
- Volume: 15.2 Å³ per atom
- Total moment: 0.000 μB per formula unit

abc: 5.636 5.636 5.636
angles: 149.60 149.60 43.53
Atoms (fractional coordinates):
Ce 0.000 0.000 0.000
Mo 0.271 0.271 0.000
C 0.707 0.707 0.000


We find (two) to be the most stable, with the next structure 12 meV/atom higher.


(one)
DFT (PBE) results for a relaxed NaCeC2O6 crystal.

Values from the calculation:
- Volume: 13.8 Å³ per atom
- Total moment: 1.000 μB per formula unit

abc: 6.481 6.481 7.206
angles: 99.92 99.92 107.25
Atoms (fractional coordinates):
Na 0.099 0.901 0.750
Na 0.901 0.099 0.250
Ce 0.415 0.585 0.250
Ce 0.585 0.415 0.750
C 0.126 0.411 0.753
C 0.411 0.126 0.253
C 0.589 0.874 0.747
C 0.874 0.589 0.247
O 0.040 0.517 0.268
O 0.140 0.246 0.633
O 0.246 0.140 0.133
O 0.297 0.517 0.902
O 0.483 0.703 0.598
O 0.483 0.960 0.232
O 0.517 0.040 0.768
O 0.517 0.297 0.402
O 0.703 0.483 0.098
O 0.754 0.860 0.867
O 0.860 0.754 0.367
O 0.960 0.483 0.732


(two)
DFT (PBE) results for a relaxed NaCeC2O6 crystal.

Values from the calculation:
- Volume: 12.1 Å³ per atom
- Total moment: 1.000 μB per formula unit

abc: 5.207 6.488 7.178
angles: 90.00 90.00 90.00
Atoms (fractional coordinates):
Na 0.000 0.023 0.000
Na 0.000 0.977 0.500
Ce 0.500 0.365 0.300
Ce 0.500 0.635 0.800
C 0.000 0.471 0.972
C 0.000 0.529 0.472
C 0.500 0.083 0.715
C 0.500 0.917 0.215
O 0.000 0.354 0.386
O 0.000 0.646 0.886
O 0.219 0.383 0.008
O 0.219 0.617 0.508
O 0.288 0.013 0.252
O 0.288 0.987 0.752
O 0.500 0.264 0.637
O 0.500 0.736 0.137
O 0.712 0.013 0.252
O 0.712 0.987 0.752
O 0.781 0.383 0.008
O 0.781 0.617 0.508


We find (two) to be the most stable, with the next structure 24 meV/atom higher.


(one)
DFT (PBE) results for a relaxed Ce2NdC2 crystal.

Values from the calculation:
- Volume: 19.6 Å³ per atom
- Total moment: 0.330 μB per formula unit

abc: 6.516 6.516 5.274
angles: 108.25 108.25 96.46
Atoms (fractional coordinates):
Ce 0.055 0.289 0.463
Ce 0.289 0.055 0.963
Ce 0.711 0.945 0.037
Ce 0.945 0.711 0.537
Nd 0.356 0.644 0.250
Nd 0.644 0.356 0.750
C 0.095 0.905 0.250
C 0.344 0.656 0.750
C 0.656 0.344 0.250
C 0.905 0.095 0.750


(two)
DFT (PBE) results for a relaxed Ce2NdC2 crystal.

Values from the calculation:
- Volume: 21.1 Å³ per atom
- Total moment: 0.000 μB per formula unit

abc: 6.411 6.411 6.411
angles: 146.86 132.23 59.38
Atoms (fractional coordinates):
Ce 0.175 0.175 0.000
Ce 0.825 0.825 0.000
Nd 0.500 0.500 0.000
C 0.319 0.819 0.500
C 0.681 0.181 0.500


We find (two) to be the most stable, with the next structure 228 meV/atom higher.


(one)
DFT (PBE) results for a relaxed CeNdC crystal.

Values from the calculation:
- Volume: 20.5 Å³ per atom
- Total moment: 0.000 μB per formula unit

abc: 4.433 4.433 4.433
angles: 60.00 60.00 60.00
Atoms (fractional coordinates):
Ce 0.000 0.000 0.000
Nd 0.500 0.500 0.500
C 0.250 0.250 0.250


(two)
DFT (PBE) results for a relaxed CeNdC crystal.

Values from the calculation:
- Volume: 21.6 Å³ per atom
- Total moment: 0.002 μB per formula unit

abc: 6.616 6.616 6.616
angles: 151.72 151.72 40.43
Atoms (fractional coordinates):
Ce 0.000 0.000 0.000
Nd 0.228 0.228 0.000
C 0.604 0.604 0.000


(three)
DFT (PBE) results for a relaxed CeNdC crystal.

Values from the calculation:
- Volume: 23.0 Å³ per atom
- Total moment: 0.000 μB per formula unit

abc: 3.547 6.105 6.105
angles: 31.49 90.00 90.00
Atoms (fractional coordinates):
Ce 0.000 0.000 0.000
Nd 0.500 0.765 0.765
C 0.500 0.438 0.438


(four)
DFT (PBE) results for a relaxed CeNdC crystal.

Values from the calculation:
- Volume: 24.7 Å³ per atom
- Total moment: 0.681 μB per formula unit

abc: 3.609 3.609 6.558
angles: 90.00 90.00 120.00
Atoms (fractional coordinates):
Ce 0.000 0.000 0.000
Nd 0.667 0.333 0.433
C 0.333 0.667 0.197


We find (four) to be the most stable, with the next structure 214 meV/atom higher.


(one)
DFT (PBE) results for a relaxed CeNdC crystal.

Values from the calculation:
- Volume: 24.8 Å³ per atom
- Total moment: 0.787 μB per formula unit

abc: 3.616 3.616 6.882
angles: 104.87 104.87 60.01
Atoms (fractional coordinates):
Ce 0.000 0.000 0.000
Nd 0.474 0.474 0.431
C 0.731 0.731 0.197


(two)
DFT (PBE) results for a relaxed CeNdC crystal.

Values from the calculation:
- Volume: 24.2 Å³ per atom
- Total moment: 0.722 μB per formula unit

abc: 3.642 3.642 12.621
angles: 90.00 90.00 120.00
Atoms (fractional coordinates):
Ce 0.000 0.000 0.111
Ce 0.000 0.000 0.889
Nd 0.333 0.667 0.382
Nd 0.333 0.667 0.618
C 0.000 0.000 0.500
C 0.333 0.667 0.000


We find (one) to be the most stable, with the next structure 258 meV/atom higher.


(one)
DFT (PBE) results for a relaxed CeNiC crystal.

Values from the calculation:
- Volume: 13.1 Å³ per atom
- Total moment: 0.000 μB per formula unit

abc: 5.378 5.378 5.378
angles: 149.80 149.80 43.24
Atoms (fractional coordinates):
Ce 0.000 0.000 0.000
Ni 0.268 0.268 0.000
C 0.705 0.705 0.000


(two)
DFT (PBE) results for a relaxed CeNiC crystal.

Values from the calculation:
- Volume: 15.5 Å³ per atom
- Total moment: 0.000 μB per formula unit

abc: 5.349 3.453 5.538
angles: 90.00 114.83 90.00
Atoms (fractional coordinates):
Ce 0.226 0.000 0.369
Ce 0.774 0.000 0.631
Ni 0.248 0.500 0.903
Ni 0.752 0.500 0.097
C 0.480 0.500 0.734
C 0.520 0.500 0.266


(three)
DFT (PBE) results for a relaxed CeNiC crystal.

Values from the calculation:
- Volume: 14.0 Å³ per atom
- Total moment: 0.000 μB per formula unit

abc: 3.628 3.628 3.693
angles: 90.00 90.00 120.00
Atoms (fractional coordinates):
Ce 0.000 0.000 0.000
Ni 0.333 0.667 0.500
C 0.667 0.333 0.498


We find (three) to be the most stable, with the next structure 273 meV/atom higher.


(one)
DFT (PBE) results for a relaxed CeNpC crystal.

Values from the calculation:
- Volume: 16.4 Å³ per atom
- Total moment: 3.864 μB per formula unit

abc: 4.352 4.352 6.006
angles: 90.00 90.00 120.00
Atoms (fractional coordinates):
Ce 0.000 0.000 0.000
Ce 0.000 0.000 0.500
Np 0.333 0.667 0.250
Np 0.667 0.333 0.750
C 0.333 0.667 0.750
C 0.667 0.333 0.250


(two)
DFT (PBE) results for a relaxed CeNpC crystal.

Values from the calculation:
- Volume: 18.9 Å³ per atom
- Total moment: 4.072 μB per formula unit

abc: 6.308 6.308 6.308
angles: 151.59 151.59 40.61
Atoms (fractional coordinates):
Ce 0.000 0.000 0.000
Np 0.769 0.769 0.000
C 0.371 0.371 0.000


(three)
DFT (PBE) results for a relaxed CeNpC crystal.

Values from the calculation:
- Volume: 17.4 Å³ per atom
- Total moment: 3.878 μB per formula unit

abc: 3.471 3.471 5.004
angles: 90.00 90.00 120.00
Atoms (fractional coordinates):
Ce 0.000 0.000 0.000
Np 0.333 0.667 0.415
C 0.667 0.333 0.680


We find (three) to be the most stable, with the next structure 248 meV/atom higher.


(one)
DFT (PBE) results for a relaxed CeNpC2 crystal.

Values from the calculation:
- Volume: 15.9 Å³ per atom
- Total moment: 2.926 μB per formula unit

abc: 3.529 3.529 5.910
angles: 90.08 90.08 60.01
Atoms (fractional coordinates):
Ce 0.000 0.000 0.000
Np 0.000 0.000 0.500
C 0.333 0.333 0.722
C 0.667 0.667 0.278


(two)
DFT (PBE) results for a relaxed CeNpC2 crystal.

Values from the calculation:
- Volume: 15.9 Å³ per atom
- Total moment: 1.632 μB per formula unit

abc: 6.082 6.082 6.082
angles: 34.24 34.24 34.24
Atoms (fractional coordinates):
Ce 0.000 0.000 0.000
Np 0.500 0.500 0.500
C 0.234 0.234 0.234
C 0.766 0.766 0.766


We find (two) to be the most stable, with the next structure 145 meV/atom higher.


(one)
DFT (PBE) results for a relaxed CeOsC2 crystal.

Values from the calculation:
- Volume: 14.2 Å³ per atom
- Total moment: 0.000 μB per formula unit

abc: 3.721 3.997 3.997
angles: 72.51 90.00 90.00
Atoms (fractional coordinates):
Ce 0.000 0.000 0.000
Os 0.500 0.386 0.386
C 0.500 0.548 0.846
C 0.500 0.846 0.548


(two)
DFT (PBE) results for a relaxed CeOsC2 crystal.

Values from the calculation:
- Volume: 12.8 Å³ per atom
- Total moment: 0.001 μB per formula unit

abc: 5.569 5.569 5.569
angles: 35.23 35.23 35.23
Atoms (fractional coordinates):
Ce 0.000 0.000 0.000
Os 0.500 0.500 0.500
C 0.231 0.231 0.231
C 0.769 0.769 0.769


We find (one) to be the most stable, with the next structure 301 meV/atom higher.